Na3Cr3AsO8 PBE+U optimized geometry; total DFT energy (no corrections) = -6.470 eV/atom; calculated density = 4.1 Mg/m³; SG = No. 166
1.0
6.066 0.000 0.000
-3.033 5.253 -0.020
0.000 -3.482 5.480
O As Na Cr
8 1 3 3
direct
0.267 0.038 0.309 O
0.733 0.962 0.691 O
0.771 0.038 0.309 O
0.732 0.463 0.695 O
0.268 0.537 0.305 O
0.229 0.962 0.691 O
0.229 0.458 0.691 O
0.771 0.542 0.309 O
0.000 0.000 0.500 As
0.000 0.000 0.000 Na
0.500 0.500 0.000 Na
0.000 0.500 0.000 Na
0.500 0.500 0.500 Cr
0.000 0.500 0.500 Cr
0.500 0.000 0.500 Cr